Record 1
Sc3Hg7 (PBE-GGA, optimized geometry); E_form = -0.253 eV/atom; density of states at the Fermi level = 0.6510 states/eV per atom; DFT total energy = -2.364 eV per atom
1.0
4.674 0.000 0.000
0.000 6.243 -0.107
-2.337 -2.200 7.650
Sc Hg
3 7
direct
0.198 0.633 0.397
0.802 0.367 0.603
0.000 0.000 0.000
0.000 0.500 0.000
0.393 0.659 0.785
0.800 0.866 0.600
0.607 0.341 0.215
0.402 0.162 0.804
0.598 0.838 0.196
0.200 0.134 0.400



Record 2
ScTlSn (PBE-GGA, optimized geometry); E_form = -0.260 eV/atom; density of states at the Fermi level = 0.6031 states/eV per atom; DFT total energy = -4.494 eV per atom; polymorph energy (0 for the lowest one) = 21.7 meV per atom
1.0
-4.796 1.538 -2.272
-1.543 -2.683 1.441
-1.133 4.209 6.624
Tl Sc Sn
2 2 2
direct
0.722 0.500 0.683
0.903 0.000 0.038
0.053 0.500 0.376
0.389 0.500 0.995
0.547 0.000 0.322
0.224 0.000 0.682



Record 3
TmCoSn4 (PBE-GGA, optimized geometry); E_form = -0.007 eV/atom; density of states at the Fermi level = 0.5903 states/eV per atom; DFT total energy = -4.606 eV per atom; polymorph energy (0 for the lowest one) = 278.7 meV per atom
1.0
4.628 0.000 0.000
-2.314 10.254 2.094
0.000 -0.690 7.105
Sn Co Tm
8 2 2
direct
0.384 0.769 0.524
0.616 0.231 0.476
0.900 0.801 0.086
0.778 0.556 0.345
0.976 0.952 0.710
0.222 0.444 0.655
0.100 0.199 0.914
0.024 0.048 0.290
0.906 0.813 0.429
0.094 0.187 0.571
0.183 0.367 0.233
0.817 0.633 0.767



Record 4
Tc2AgW (PBE-GGA, optimized geometry); E_form = 0.438 eV/atom; density of states at the Fermi level = 0.9555 states/eV per atom; DFT total energy = -8.696 eV per atom; polymorph energy (0 for the lowest one) = 143.9 meV per atom
1.0
4.921 -0.004 0.005
4.100 2.721 0.005
0.927 0.279 4.675
Tc Ag W
2 1 1
direct
0.009 0.009 0.975
0.746 0.746 0.757
0.251 0.251 0.250
0.493 0.493 0.517



Record 5
Sc2CdTc2 (PBE-GGA, optimized geometry); E_form = -0.026 eV/atom; density of states at the Fermi level = 0.7004 states/eV per atom; DFT total energy = -6.888 eV per atom; polymorph energy (0 for the lowest one) = 0.0 meV per atom
1.0
7.584 0.000 0.000
0.000 7.584 0.000
0.000 0.000 3.362
Tc Sc Cd
4 4 2
direct
0.893 0.607 0.000
0.393 0.893 0.000
0.607 0.107 0.000
0.107 0.393 0.000
0.816 0.316 0.500
0.684 0.816 0.500
0.184 0.684 0.500
0.316 0.184 0.500
0.000 0.000 0.000
0.500 0.500 0.000



Record 6
Ba2GaHRh (PBE-GGA, optimized geometry); density of states at the Fermi level = 0.6959 states/eV per atom; DFT total energy = -3.765 eV per atom
1.0
-2.699 -3.549 3.670
5.073 -1.400 2.377
-0.368 2.789 2.427
Ba Ga Rh H
2 1 1 1
direct
0.500 0.000 0.000
0.000 0.500 0.000
0.500 0.500 0.500
0.000 0.000 0.500
0.000 0.000 0.000



Record 7
ZrScRe2Te (PBE-GGA, optimized geometry); density of states at the Fermi level = 1.0589 states/eV per atom; DFT total energy = -7.193 eV per atom
1.0
-0.865 4.167 2.359
-1.291 -2.546 4.024
4.616 0.088 1.537
Re Te Sc Zr
2 1 1 1
direct
0.000 0.000 0.500
0.500 0.000 0.000
0.000 0.000 0.000
0.000 0.500 0.000
0.500 0.500 0.500



Record 8
PrNdFeC (PBE-GGA, optimized geometry); E_form = 0.486 eV/atom; density of states at the Fermi level = 0.7844 states/eV per atom; DFT total energy = -6.322 eV per atom
1.0
3.800 0.000 0.000
0.000 3.800 0.000
0.000 0.000 11.415
Nd C Pr Fe
2 2 2 2
direct
0.750 0.250 0.500
0.250 0.750 0.500
0.750 0.750 0.931
0.250 0.250 0.069
0.250 0.250 0.804
0.750 0.750 0.196
0.250 0.750 0.000
0.750 0.250 0.000



Record 9
Ac6CoRu2Cl3 (PBE-GGA, optimized geometry); density of states at the Fermi level = 0.6000 states/eV per atom; DFT total energy = -5.553 eV per atom
1.0
7.361 -0.001 0.000
-3.680 6.375 0.000
-1.228 -2.126 8.007
Ru Co Ac Cl
2 1 6 3
direct
0.334 0.666 0.000
0.666 0.334 0.000
0.000 0.000 0.000
0.398 0.067 0.202
0.933 0.602 0.798
0.602 0.933 0.798
0.264 0.264 0.798
0.067 0.398 0.202
0.736 0.736 0.202
0.830 0.170 0.500
0.500 0.500 0.500
0.170 0.830 0.500



Record 10
HfCoNiP (PBE-GGA, optimized geometry); E_form = -0.671 eV/atom; density of states at the Fermi level = 0.7377 states/eV per atom; DFT total energy = -7.733 eV per atom; polymorph energy (0 for the lowest one) = 0.0 meV per atom
1.0
-2.960 0.169 3.798
1.162 -3.537 1.063
6.232 2.292 0.811
P Co Ni Hf
2 2 2 2
direct
0.103 0.500 0.549
0.103 0.000 0.049
0.031 0.500 0.191
0.031 0.000 0.691
0.357 0.500 0.966
0.357 0.000 0.466
0.715 0.500 0.751
0.715 0.000 0.251



Record 11
CsTiAsO5 (PBE-GGA, optimized geometry); density of states at the Fermi level = 0.0000 states/eV per atom; DFT total energy = -6.884 eV per atom; polymorph energy (0 for the lowest one) = 0.0 meV per atom
1.0
6.962 0.000 0.000
0.000 10.854 0.000
0.000 0.000 13.692
O As Ti Cs
40 8 8 8
direct
0.195 0.810 0.397
0.813 0.260 0.397
0.545 0.415 0.746
0.204 0.499 0.390
0.483 0.664 0.485
0.938 0.163 0.216
0.698 0.575 0.889
0.313 0.760 0.103
0.305 0.810 0.897
0.805 0.310 0.603
0.562 0.163 0.716
0.687 0.260 0.897
0.802 0.575 0.389
0.062 0.663 0.784
0.935 0.416 0.783
0.955 0.415 0.246
0.198 0.075 0.611
0.438 0.663 0.284
0.964 0.417 0.984
0.045 0.915 0.754
0.017 0.664 0.985
0.453 0.661 0.746
0.695 0.310 0.103
0.047 0.661 0.246
0.547 0.161 0.254
0.036 0.917 0.016
0.796 0.999 0.610
0.296 0.499 0.890
0.187 0.760 0.603
0.065 0.916 0.217
0.302 0.075 0.111
0.464 0.917 0.516
0.536 0.417 0.484
0.455 0.915 0.254
0.983 0.164 0.015
0.517 0.164 0.515
0.953 0.161 0.754
0.565 0.416 0.283
0.435 0.916 0.717
0.704 0.999 0.110
0.170 0.784 0.001
0.330 0.784 0.501
0.004 0.537 0.323
0.504 0.037 0.177
0.496 0.537 0.823
0.830 0.284 0.999
0.670 0.284 0.499
0.996 0.037 0.677
0.237 0.779 0.749
0.002 0.029 0.130
0.498 0.029 0.630
0.502 0.529 0.370
0.998 0.529 0.870
0.737 0.279 0.751
0.763 0.279 0.251
0.263 0.779 0.249
0.786 0.872 0.386
0.286 0.372 0.114
0.304 0.117 0.889
0.196 0.117 0.389
0.804 0.617 0.611
0.214 0.372 0.614
0.714 0.872 0.886
0.696 0.617 0.111



Record 12
Sc3Zn2Cd2Au4 (PBE-GGA, optimized geometry); E_form = -0.498 eV/atom; density of states at the Fermi level = 0.6402 states/eV per atom; DFT total energy = -3.815 eV per atom
1.0
4.522 0.000 0.000
-2.261 3.916 0.000
0.000 0.000 12.583
Au Sc Zn Cd
4 3 2 2
direct
0.333 0.667 0.881
0.667 0.333 0.119
0.667 0.333 0.659
0.333 0.667 0.341
0.000 0.000 0.752
0.000 0.000 0.000
0.000 0.000 0.248
0.333 0.667 0.122
0.667 0.333 0.878
0.333 0.667 0.571
0.667 0.333 0.429